1.
# IClO meta-GGA SCAN PBEsol geometry
data_IClO
_cell_length_a 15.5608
_cell_length_b 15.5608
_cell_length_c 6.5152
_cell_angle_alpha 90.00
_cell_angle_beta 90.00
_cell_angle_gamma 120.00
_symmetry_space_group_name_H-M 'R -3'
_symmetry_Int_Tables_number 148
_symmetry_space_group_name_Hall '-R 3'
loop_
_atom_site_label
_atom_site_type_symbol
_atom_site_fract_x
_atom_site_fract_y
_atom_site_fract_z
I1 I 0.0622 0.5987 0.1843
Cl1 Cl 0.0655 0.8873 0.8156
O1 O 0.0216 0.4245 0.1170
# Final energy   -17.163 eV/atom
# Density   3.9 g cm⁻³
# Formation energy (no corrections)   -0.18 eV per atom
# M_tot   0.00 μB per formula unit

=====

2.
# YCdAg2 meta-GGA SCAN PBEsol geometry
data_YCdAg2
_cell_length_a 6.848
_cell_length_b 6.848
_cell_length_c 6.848
_cell_angle_alpha 90.00
_cell_angle_beta 90.00
_cell_angle_gamma 90.00
_symmetry_space_group_name_H-M 'F -4 3 m'
_symmetry_Int_Tables_number 216
_symmetry_space_group_name_Hall 'F -4 2 3'
loop_
_atom_site_label
_atom_site_type_symbol
_atom_site_fract_x
_atom_site_fract_y
_atom_site_fract_z
Y1 Y 0.000 0.000 0.000
Cd1 Cd 0.250 0.250 0.250
Ag1 Ag 0.000 0.000 0.500
Ag2 Ag 0.250 0.250 0.750
# Final energy   -30.499 eV/atom
# Density   8.6 g cm⁻³
# N(E_F)   2.7 states/eV/f.u.
# M_tot   0.00 μB per formula unit
# E_form   -0.25 eV per atom

=====

3.
# SmCuPb meta-GGA SCAN PBEsol geometry
data_SmCuPb
_cell_length_a 4.5715
_cell_length_b 4.5715
_cell_length_c 7.5163
_cell_angle_alpha 90.00
_cell_angle_beta 90.00
_cell_angle_gamma 120.00
_symmetry_space_group_name_H-M 'P 63/m m c'
_symmetry_Int_Tables_number 194
_symmetry_space_group_name_Hall '-P 6c 2c'
loop_
_atom_site_label
_atom_site_type_symbol
_atom_site_fract_x
_atom_site_fract_y
_atom_site_fract_z
Sm1 Sm 0.0000 0.0000 0.0000
Cu1 Cu 0.3333 0.6667 0.2500
Pb1 Pb 0.3333 0.6667 0.7500
# Final energy   -45.699 eV/atom
# Density   10.3 g cm⁻³
# N(E_F)   0.8 states/eV/f.u.
# M_tot   0.00 μB per formula unit
# E_form   -0.56 eV per atom

=====

4.
# YCu5Sn meta-GGA SCAN PBEsol geometry
data_YCu5Sn
_cell_length_a 8.106
_cell_length_b 4.913
_cell_length_c 10.434
_cell_angle_alpha 90.00
_cell_angle_beta 90.00
_cell_angle_gamma 90.00
_symmetry_space_group_name_H-M 'P n m a'
_symmetry_Int_Tables_number 62
loop_
_symmetry_equiv_pos_as_xyz
'x,y,z'
'-x,-y,-z'
'-x+1/2,-y,z+1/2'
'x+1/2,y,-z+1/2'
'x+1/2,-y+1/2,-z+1/2'
'-x+1/2,y+1/2,z+1/2'
'-x,y+1/2,-z'
'x,-y+1/2,z'
loop_
_atom_site_label
_atom_site_type_symbol
_atom_site_fract_x
_atom_site_fract_y
_atom_site_fract_z
Y1 Y 0.249 0.250 0.062
Cu1 Cu 0.059 0.750 0.102
Cu2 Cu 0.069 0.001 0.312
Cu3 Cu 0.083 0.250 0.517
Cu4 Cu 0.183 0.250 0.742
Sn1 Sn 0.138 0.750 0.861
# Final energy   -20.266 eV/atom
# Density   8.4 g cm⁻³
# N(E_F)   1.8 states/eV/f.u.
# M_tot   0.00 μB per formula unit
# E_form   -0.30 eV per atom